Computed, not measured: a relaxed structure of LiPmErPd at the PBE level of DFT.

Structure (extended XYZ):
```
4
Lattice="-0.3832 4.6157 2.0725 -3.8107 1.0431 3.1839 0.9310 0.6455 4.9460" Properties=species:S:1:pos:R:3 pbc="T T T"
Pm -2.4471 4.7282 7.6518
Li 0.0000 0.0000 0.0000
Pd -1.6314 3.1521 5.1012
Er -0.8157 1.5761 2.5506
```

Output
DFT formation energy: -0.3802 eV/atom
Raw total energy: -4.49 eV per atom
DOS(E_F): 0.7085 states/eV per atom
Volume: 92.4 Å³ per cell
SG: F-43m (216)